Entry 1:
# GGA-PBE Pm2PrYSe6, optimized geometry
# * crystal system: trigonal
# * total energy: -0.2209 hartree per atom
# * formation energy from raw total energies: -1845 meV per atom
# * magnetization: 0.00 μB per formula unit
data_Pm2PrYSe6
_symmetry_space_group_name_H-M 'P 1'
_symmetry_Int_Tables_number 1
_symmetry_space_group_name_Hall 'P 1'
_cell_length_a 7.408
_cell_length_b 7.408
_cell_length_c 7.855
_cell_angle_alpha 61.86
_cell_angle_beta 61.86
_cell_angle_gamma 59.99
loop_
_atom_site_label
_atom_site_type_symbol
_atom_site_fract_x
_atom_site_fract_y
_atom_site_fract_z
_atom_site_occupancy
Se1 Se 0.714 0.122 0.754 1
Se2 Se 0.927 0.605 0.251 1
Se3 Se 0.122 0.410 0.754 1
Se4 Se 0.410 0.714 0.754 1
Se5 Se 0.217 0.927 0.251 1
Se6 Se 0.605 0.217 0.251 1
Y1 Y 0.318 0.318 0.045 1
Pm1 Pm 0.519 0.519 0.444 1
Pm2 Pm 0.015 0.015 0.954 1
Pr1 Pr 0.814 0.814 0.558 1

Entry 2:
# GGA-PBE Ba3Te, optimized geometry
# * crystal system: orthorhombic
# * offset from the most stable computed form: 89 meV per atom
# * total energy: -0.1072 hartree per atom
# * formation energy from raw total energies: -688 meV per atom
# * magnetization: 0.08 μB per formula unit
data_Ba3Te
_symmetry_space_group_name_H-M 'P 1'
_symmetry_Int_Tables_number 1
_symmetry_space_group_name_Hall 'P 1'
_cell_length_a 4.450
_cell_length_b 4.492
_cell_length_c 11.739
_cell_angle_alpha 90.00
_cell_angle_beta 90.00
_cell_angle_gamma 90.00
loop_
_atom_site_label
_atom_site_type_symbol
_atom_site_fract_x
_atom_site_fract_y
_atom_site_fract_z
_atom_site_occupancy
Ba1 Ba 0.000 0.500 0.462 1
Ba2 Ba 0.500 0.000 0.759 1
Ba3 Ba 0.500 0.500 0.118 1
Te1 Te 0.000 0.000 0.994 1

Entry 3:
# GGA-PBE K2YRe, optimized geometry
# * crystal system: orthorhombic
# * offset from the most stable computed form: 407 meV per atom
# * total energy: -0.1502 hartree per atom
# * calculated formation energy: 1.1890 eV per atom
# * magnetization: 0.02 μB per formula unit
data_K2YRe
_symmetry_space_group_name_H-M 'P 1'
_symmetry_Int_Tables_number 1
_symmetry_space_group_name_Hall 'P 1'
_cell_length_a 3.429
_cell_length_b 5.012
_cell_length_c 6.594
_cell_angle_alpha 90.00
_cell_angle_beta 90.00
_cell_angle_gamma 90.00
loop_
_atom_site_label
_atom_site_type_symbol
_atom_site_fract_x
_atom_site_fract_y
_atom_site_fract_z
_atom_site_occupancy
K1 K 0.500 0.500 0.000 1
K2 K 0.000 0.000 0.000 1
Re1 Re 0.500 0.000 0.500 1
Y1 Y 0.000 0.500 0.500 1

Entry 4:
# GGA-PBE NaScTl2Br6, optimized geometry
# * crystal system: monoclinic
# * total energy: -0.1320 hartree per atom
# * formation energy from raw total energies: -1351 meV per atom
# * magnetization: 0.00 μB per formula unit
data_NaScTl2Br6
_symmetry_space_group_name_H-M 'P 1'
_symmetry_Int_Tables_number 1
_symmetry_space_group_name_Hall 'P 1'
_cell_length_a 7.571
_cell_length_b 7.950
_cell_length_c 10.886
_cell_angle_alpha 90.00
_cell_angle_beta 89.52
_cell_angle_gamma 90.00
loop_
_atom_site_label
_atom_site_type_symbol
_atom_site_fract_x
_atom_site_fract_y
_atom_site_fract_z
_atom_site_occupancy
Br1 Br 0.787 0.814 0.544 1
Br2 Br 0.093 0.482 0.763 1
Br3 Br 0.713 0.314 0.956 1
Br4 Br 0.182 0.218 0.046 1
Br5 Br 0.682 0.282 0.546 1
Br6 Br 0.318 0.718 0.454 1
Br7 Br 0.213 0.186 0.456 1
Br8 Br 0.407 0.982 0.737 1
Br9 Br 0.907 0.518 0.237 1
Br10 Br 0.818 0.782 0.954 1
Br11 Br 0.287 0.686 0.044 1
Br12 Br 0.593 0.018 0.263 1
Na1 Na 0.500 0.000 0.000 1
Na2 Na 0.000 0.500 0.500 1
Tl1 Tl 0.023 0.925 0.251 1
Tl2 Tl 0.477 0.425 0.249 1
Tl3 Tl 0.523 0.575 0.751 1
Tl4 Tl 0.977 0.075 0.749 1
Sc1 Sc 0.500 0.000 0.500 1
Sc2 Sc 0.000 0.500 0.000 1